Record 1
Material: Te2S13
Method: DFT, PBE
State: relaxed

Geometry as POSCAR:
```
Te2S13
1.0
6.053 0.000 3.040
2.263 5.614 3.040
-1.504 -1.016 10.542
Te S
2 13
Direct
0.634 0.634 0.099 Te
0.366 0.366 0.901 Te
0.500 0.500 0.500 S
0.043 0.585 0.788 S
0.585 0.585 0.788 S
0.585 0.043 0.788 S
0.415 0.957 0.212 S
0.957 0.415 0.212 S
0.415 0.415 0.212 S
0.096 0.776 0.352 S
0.776 0.776 0.352 S
0.776 0.096 0.352 S
0.224 0.904 0.648 S
0.904 0.224 0.648 S
0.224 0.224 0.648 S
```

Results
Formation energy from raw total energies ... 0.556 eV per atom



Record 2
Material: TeS
Method: DFT, PBE
State: relaxed

Geometry as POSCAR:
```
TeS
1.0
16.077 0.000 0.000
0.000 4.753 0.000
0.000 0.000 5.365
Te S
6 6
Direct
0.772 0.131 0.208 Te
0.728 0.869 0.708 Te
0.228 0.131 0.208 Te
0.272 0.869 0.708 Te
0.000 0.718 0.725 Te
0.500 0.282 0.225 Te
0.839 0.546 0.674 S
0.661 0.454 0.174 S
0.161 0.546 0.674 S
0.339 0.454 0.174 S
0.000 0.152 0.514 S
0.500 0.848 0.014 S
```

Results
Formation energy from raw total energies ... 0.191 eV per atom



Record 3
Material: TeS
Method: DFT, PBE
State: relaxed

Geometry as POSCAR:
```
TeS
1.0
10.793 0.000 0.000
0.000 10.793 0.000
0.000 0.000 5.375
Te S
8 8
Direct
0.692 0.440 0.500 Te
0.308 0.560 0.500 Te
0.560 0.692 0.500 Te
0.440 0.308 0.500 Te
0.884 0.637 0.000 Te
0.116 0.363 0.000 Te
0.363 0.884 0.000 Te
0.637 0.116 0.000 Te
0.832 0.630 0.500 S
0.168 0.370 0.500 S
0.370 0.832 0.500 S
0.630 0.168 0.500 S
0.906 0.360 0.000 S
0.094 0.640 0.000 S
0.640 0.906 0.000 S
0.360 0.094 0.000 S
```

Results
Formation energy from raw total energies ... 0.232 eV per atom



Record 4
Material: TeS
Method: DFT, PBE
State: relaxed

Geometry as POSCAR:
```
TeS
1.0
-1.802 7.492 -5.721
-6.390 -7.123 0.734
-2.242 2.409 3.862
Te S
6 6
Direct
0.018 0.310 0.250 Te
0.707 0.018 0.750 Te
0.690 0.707 0.250 Te
0.982 0.690 0.750 Te
0.293 0.982 0.250 Te
0.310 0.293 0.750 Te
0.719 0.125 0.250 S
0.594 0.719 0.750 S
0.875 0.594 0.250 S
0.281 0.875 0.750 S
0.406 0.281 0.250 S
0.125 0.406 0.750 S
```

Results
Formation energy from raw total energies ... 0.300 eV per atom



Record 5
Material: TeS
Method: DFT, PBE
State: relaxed

Geometry as POSCAR:
```
TeS
1.0
-3.466 2.901 6.491
-3.833 -6.844 1.012
5.988 -2.702 4.405
Te S
6 6
Direct
0.250 0.500 0.000 Te
0.750 0.500 0.000 Te
0.500 0.000 0.250 Te
0.500 0.000 0.750 Te
0.000 0.250 0.500 Te
0.000 0.750 0.500 Te
0.250 0.000 0.500 S
0.750 0.000 0.500 S
0.000 0.500 0.250 S
0.000 0.500 0.750 S
0.500 0.250 0.000 S
0.500 0.750 0.000 S
```

Results
Formation energy from raw total energies ... 0.636 eV per atom



Record 6
Material: TeS
Method: DFT, PBE
State: relaxed

Geometry as POSCAR:
```
TeS
1.0
-0.217 -3.349 1.950
3.420 -1.084 -1.482
1.598 1.433 2.639
S Te
1 1
Direct
0.000 0.000 0.500 S
0.500 0.500 0.500 Te
```

Results
Formation energy from raw total energies ... 0.213 eV per atom



Record 7
Material: TeS4
Method: DFT, PBE
State: relaxed

Geometry as POSCAR:
```
TeS4
1.0
5.399 0.275 0.511
0.627 4.369 0.160
0.693 1.508 5.983
Te S
1 4
Direct
0.500 0.000 0.000 Te
0.911 0.567 0.138 S
0.492 0.201 0.372 S
0.508 0.799 0.628 S
0.089 0.433 0.862 S
```

Results
Energy above the lowest structure with this stoichiometry ... 0.0000 eV per atom
Formation energy from raw total energies ... 0.209 eV per atom



Record 8
Material: TeS2
Method: DFT, PBE
State: relaxed

Geometry as POSCAR:
```
TeS2
1.0
4.474 -0.678 -0.348
-2.738 10.610 -2.863
-0.448 -2.572 4.895
Te S
2 4
Direct
0.030 0.290 0.112 Te
0.970 0.710 0.888 Te
0.791 0.551 0.314 S
0.442 0.028 0.863 S
0.558 0.972 0.137 S
0.209 0.449 0.686 S
```

Results
Formation energy from raw total energies ... 0.142 eV per atom



Record 9
Material: TeS3
Method: DFT, PBE
State: relaxed

Geometry as POSCAR:
```
TeS3
1.0
3.660 -6.340 0.000
3.660 6.340 0.000
0.000 0.000 3.726
Te S
2 6
Direct
0.333 0.667 0.750 Te
0.667 0.333 0.250 Te
0.179 0.358 0.250 S
0.642 0.821 0.250 S
0.179 0.821 0.250 S
0.821 0.642 0.750 S
0.358 0.179 0.750 S
0.821 0.179 0.750 S
```

Results
Energy above the lowest structure with this stoichiometry ... 0.4219 eV per atom
Formation energy from raw total energies ... 0.551 eV per atom



Record 10
Material: Th2TeS
Method: DFT, PBE
State: relaxed

Geometry as POSCAR:
```
Th2TeS
1.0
4.153 0.000 0.000
2.077 3.597 0.000
2.077 1.199 7.322
S Te Th
1 1 2
Direct
0.000 0.000 0.000 S
0.500 0.500 0.500 Te
0.264 0.264 0.208 Th
0.736 0.736 0.792 Th
```

Results
Energy above the lowest structure with this stoichiometry ... 0.0000 eV per atom
Formation energy from raw total energies ... -1.436 eV per atom



Record 11
Material: ThTeS
Method: DFT, PBE
State: relaxed

Geometry as POSCAR:
```
ThTeS
1.0
-2.014 3.370 -3.195
-4.163 -1.177 -2.626
-4.408 2.223 1.115
S Te Th
1 1 1
Direct
0.500 0.500 0.500 S
0.000 0.000 0.000 Te
0.250 0.250 0.250 Th
```

Results
Energy above the lowest structure with this stoichiometry ... 0.2780 eV per atom
Formation energy from raw total energies ... -1.389 eV per atom



Record 12
Material: Th3Te2S
Method: DFT, PBE
State: relaxed

Geometry as POSCAR:
```
Th3Te2S
1.0
-1.625 6.157 -3.886
-5.869 3.519 3.301
3.272 6.463 1.711
Th Te S
6 4 2
Direct
0.565 0.221 0.360 Th
0.707 0.792 0.000 Th
0.435 0.779 0.640 Th
0.075 0.779 0.360 Th
0.925 0.221 0.640 Th
0.293 0.208 0.000 Th
0.000 0.000 0.000 Te
0.500 0.500 0.000 Te
0.848 0.500 0.304 Te
0.152 0.500 0.696 Te
0.329 0.000 0.341 S
0.671 0.000 0.659 S
```

Results
Formation energy from raw total energies ... -1.282 eV per atom



Record 13
Material: Th4Te5S
Method: DFT, PBE
State: relaxed

Geometry as POSCAR:
```
Th4Te5S
1.0
4.312 0.000 0.000
0.000 8.578 -0.423
-2.156 -1.659 9.347
Th Te S
4 5 1
Direct
0.345 0.921 0.690 Th
0.001 0.775 0.002 Th
0.655 0.079 0.310 Th
0.999 0.225 0.998 Th
0.833 0.656 0.667 Te
0.828 0.184 0.656 Te
0.172 0.816 0.344 Te
0.500 0.500 0.000 Te
0.167 0.344 0.333 Te
0.500 0.000 0.000 S
```

Results
Formation energy from raw total energies ... -1.286 eV per atom



Record 14
Material: ThTeS
Method: DFT, PBE
State: relaxed

Geometry as POSCAR:
```
ThTeS
1.0
-1.799 -1.361 3.748
6.903 -6.232 1.051
5.012 6.347 4.711
Th Te S
4 4 4
Direct
0.500 0.311 0.089 Th
0.000 0.911 0.311 Th
0.000 0.089 0.689 Th
0.500 0.689 0.911 Th
0.500 0.820 0.569 Te
0.000 0.431 0.820 Te
0.000 0.569 0.180 Te
0.500 0.180 0.431 Te
0.500 0.868 0.149 S
0.500 0.132 0.851 S
0.000 0.149 0.132 S
0.000 0.851 0.868 S
```

Results
Energy above the lowest structure with this stoichiometry ... 0.1979 eV per atom
Formation energy from raw total energies ... -1.469 eV per atom



Record 15
Material: ThTeS
Method: DFT, PBE
State: relaxed

Geometry as POSCAR:
```
ThTeS
1.0
4.405 0.000 0.000
0.000 4.405 0.000
-2.202 -2.202 8.287
Th Te S
2 2 2
Direct
0.110 0.110 0.221 Th
0.890 0.890 0.779 Th
0.314 0.314 0.628 Te
0.686 0.686 0.372 Te
0.500 0.000 0.000 S
0.000 0.500 0.000 S
```

Results
Energy above the lowest structure with this stoichiometry ... 0.1646 eV per atom
Formation energy from raw total energies ... -1.503 eV per atom



Record 16
Material: ThTeS
Method: DFT, PBE
State: relaxed

Geometry as POSCAR:
```
ThTeS
1.0
-1.002 3.500 2.700
-3.682 0.870 -2.495
-4.290 -4.818 4.653
Th Te S
2 2 2
Direct
0.000 0.500 0.287 Th
0.500 0.000 0.713 Th
0.000 0.500 0.871 Te
0.500 0.000 0.129 Te
0.500 0.500 0.500 S
0.000 0.000 0.500 S
```

Results
Energy above the lowest structure with this stoichiometry ... 0.0000 eV per atom
Formation energy from raw total energies ... -1.667 eV per atom



Record 17
Material: Th2TeS
Method: DFT, PBE
State: relaxed

Geometry as POSCAR:
```
Th2TeS
1.0
4.023 0.000 0.000
2.012 3.484 0.000
2.012 1.161 7.835
Th Te S
2 1 1
Direct
0.072 0.072 0.785 Th
0.263 0.263 0.212 Th
0.499 0.499 0.502 Te
0.666 0.666 0.001 S
```

Results
Energy above the lowest structure with this stoichiometry ... 0.0346 eV per atom
Formation energy from raw total energies ... -1.402 eV per atom



Record 18
Material: Th6TeS12
Method: DFT, PBE
State: relaxed

Geometry as POSCAR:
```
Th6TeS12
1.0
8.302 0.018 0.025
-2.041 8.048 0.025
-2.041 -2.629 7.606
Th Te S
6 1 12
Direct
0.661 0.244 0.244 Th
0.244 0.244 0.661 Th
0.244 0.661 0.244 Th
0.756 0.756 0.339 Th
0.339 0.756 0.756 Th
0.756 0.339 0.756 Th
0.000 0.000 0.000 Te
0.870 0.130 0.500 S
0.816 0.544 0.544 S
0.544 0.544 0.816 S
0.456 0.184 0.456 S
0.456 0.456 0.184 S
0.184 0.456 0.456 S
0.130 0.500 0.870 S
0.500 0.870 0.130 S
0.130 0.870 0.500 S
0.870 0.500 0.130 S
0.500 0.130 0.870 S
0.544 0.816 0.544 S
```

Results
Formation energy from raw total energies ... -1.667 eV per atom



Record 19
Material: ThTeS
Method: DFT, PBE
State: relaxed

Geometry as POSCAR:
```
ThTeS
1.0
4.411 0.000 0.000
0.000 4.702 0.000
0.000 -2.351 4.072
S Te Th
1 1 1
Direct
0.166 0.000 0.000 S
0.667 0.667 0.333 Te
0.167 0.333 0.667 Th
```

Results
Energy above the lowest structure with this stoichiometry ... 0.1923 eV per atom
Formation energy from raw total energies ... -1.475 eV per atom



Record 20
Material: ThTeS
Method: DFT, PBE
State: relaxed

Geometry as POSCAR:
```
ThTeS
1.0
3.847 0.000 0.000
0.000 3.847 0.000
-1.923 -1.923 5.268
S Te Th
1 1 1
Direct
0.301 0.301 0.602 S
0.010 0.010 0.020 Te
0.689 0.689 0.378 Th
```

Results
Energy above the lowest structure with this stoichiometry ... 0.2900 eV per atom
Formation energy from raw total energies ... -1.377 eV per atom



Record 21
Material: TmTh2Te2S2
Method: DFT, PBE
State: relaxed

Geometry as POSCAR:
```
TmTh2Te2S2
1.0
-0.143 -2.090 4.469
4.449 -1.987 -0.787
1.327 8.575 1.327
Tm Th Te S
1 2 2 2
Direct
0.000 0.000 0.000 Tm
0.388 0.388 0.776 Th
0.612 0.612 0.224 Th
0.185 0.185 0.371 Te
0.815 0.815 0.629 Te
0.000 0.500 0.000 S
0.500 0.000 0.000 S
```

Results
Formation energy from raw total energies ... -1.256 eV per atom



Record 22
Material: TiTe3S
Method: DFT, PBE
State: relaxed

Geometry as POSCAR:
```
TiTe3S
1.0
-0.099 2.722 4.473
-4.955 -1.495 0.800
1.693 -4.217 2.603
S Te Ti
1 3 1
Direct
0.500 0.500 0.500 S
0.000 0.500 0.000 Te
0.000 0.000 0.500 Te
0.500 0.000 0.000 Te
0.000 0.000 0.000 Ti
```

Results
Energy above the lowest structure with this stoichiometry ... 0.0000 eV per atom
Formation energy from raw total energies ... 0.255 eV per atom



Record 23
Material: Ti2TeS2
Method: DFT, PBE
State: relaxed

Geometry as POSCAR:
```
Ti2TeS2
1.0
7.409 0.000 0.000
0.000 7.409 0.000
0.000 0.000 3.205
S Te Ti
4 2 4
Direct
0.134 0.634 0.500 S
0.634 0.866 0.500 S
0.866 0.366 0.500 S
0.366 0.134 0.500 S
0.000 0.000 0.000 Te
0.500 0.500 0.000 Te
0.367 0.867 0.000 Ti
0.867 0.633 0.000 Ti
0.633 0.133 0.000 Ti
0.133 0.367 0.000 Ti
```

Results
Energy above the lowest structure with this stoichiometry ... 0.2292 eV per atom
Formation energy from raw total energies ... -0.879 eV per atom



Record 24
Material: Ti8TeS2
Method: DFT, PBE
State: relaxed

Geometry as POSCAR:
```
Ti8TeS2
1.0
-1.373 -1.280 4.588
-4.102 -6.437 -1.169
0.869 -7.673 -0.025
Ti Te S
8 1 2
Direct
0.367 0.347 0.837 Ti
0.633 0.163 0.653 Ti
0.233 0.773 0.773 Ti
0.767 0.227 0.227 Ti
0.367 0.837 0.347 Ti
0.633 0.653 0.163 Ti
0.856 0.600 0.600 Ti
0.144 0.400 0.400 Ti
0.000 0.000 0.000 Te
0.739 0.766 0.766 S
0.261 0.234 0.234 S
```

Results
Formation energy from raw total energies ... -0.461 eV per atom